No. 1
This record from the Alexandria database describes a relaxed structure of Pm3YAs4. The functional is PBE.

Values from the calculation:
SG: Cmmm, No. 65

Cell: 4.2135 7.2911 7.2911 Å, 109.47 90.00 90.00°
Positions (direct):
Y1 0.5000 0.0000 0.0000
As1 0.5000 0.7522 0.2478
As2 0.0000 0.2456 0.2456
As3 0.0000 0.7544 0.7544
As4 0.5000 0.2478 0.7522
Pm1 0.0000 0.5000 0.0000
Pm2 0.0000 0.0000 0.5000
Pm3 0.5000 0.5000 0.5000


No. 2
This record from the Alexandria database describes a relaxed structure of RbHfTlCr2. The functional is PBE.

Values from the calculation:
Excess energy over the best structure of this formula in the dataset in meV per atom: 0
SG: P4/mmm, No. 123

Cell: 5.4501 5.5533 5.4501 Å, 90.00 90.00 90.00°
Each line ends with the local moment (μB).
Positions (direct):
Cr1 0.5000 0.0000 0.0000  4.00
Cr2 0.0000 0.0000 0.5000  4.03
Rb1 0.5000 0.5000 0.5000  0.00
Tl1 0.0000 0.0000 0.0000  -0.07
Hf1 0.0000 0.5000 0.0000  -0.79


| no. | formation energy (meV per atom) |
| --- | --- |
| 1 | -1531 |
| 2 | 1408 |